# K2ScP | Alexandria | PBE-GGA | optimized geometry
data_K2ScP
_chemical_formula_sum 'K2 Sc1 P1'
_cell_length_a 7.567
_cell_length_b 7.567
_cell_length_c 7.567
_cell_angle_alpha 150.66
_cell_angle_beta 133.45
_cell_angle_gamma 55.98
_space_group_name_H-M_alt 'P 1'
_space_group_IT_number 1
_space_group_name_Hall 'P 1'
loop_
_atom_site_label
_atom_site_fract_x
_atom_site_fract_y
_atom_site_fract_z
_atom_site_occupancy
K1 0.000 0.000 0.000 1
K2 0.668 0.168 0.500 1
Sc1 0.323 0.323 0.000 1
P1 0.206 0.706 0.500 1
# SG: Imm2
# ΔE_f: -19 kJ per mole of atoms

# HfRh4 | Alexandria | PBE-GGA | optimized geometry
data_HfRh4
_chemical_formula_sum 'Hf1 Rh4'
_cell_length_a 4.696
_cell_length_b 4.696
_cell_length_c 4.696
_cell_angle_alpha 90.00
_cell_angle_beta 90.00
_cell_angle_gamma 90.00
_space_group_name_H-M_alt 'P 1'
_space_group_IT_number 1
_space_group_name_Hall 'P 1'
loop_
_atom_site_label
_atom_site_fract_x
_atom_site_fract_y
_atom_site_fract_z
_atom_site_occupancy
Hf1 0.000 0.000 0.000 1
Rh1 0.000 0.000 0.500 1
Rh2 0.000 0.500 0.000 1
Rh3 0.500 0.000 0.000 1
Rh4 0.500 0.500 0.500 1
# SG: Pm-3m
# ΔE_f: 109 kJ per mole of atoms

# Pm2PuMoN5 | Alexandria | PBE-GGA | optimized geometry
data_Pm2PuMoN5
_chemical_formula_sum 'Pm4 Pu2 Mo2 N10'
_cell_length_a 7.161
_cell_length_b 7.161
_cell_length_c 10.388
_cell_angle_alpha 90.00
_cell_angle_beta 90.00
_cell_angle_gamma 151.67
_space_group_name_H-M_alt 'P 1'
_space_group_IT_number 1
_space_group_name_Hall 'P 1'
loop_
_atom_site_label
_atom_site_fract_x
_atom_site_fract_y
_atom_site_fract_z
_atom_site_occupancy
Pm1 0.109 0.891 0.500 1
Pm2 0.143 0.857 0.122 1
Pm3 0.857 0.143 0.622 1
Pm4 0.891 0.109 0.000 1
Pu1 0.208 0.792 0.828 1
Pu2 0.792 0.208 0.328 1
Mo1 0.477 0.523 0.274 1
Mo2 0.523 0.477 0.774 1
N1 0.041 0.959 0.857 1
N2 0.283 0.717 0.470 1
N3 0.321 0.679 0.200 1
N4 0.371 0.629 0.822 1
N5 0.489 0.511 0.601 1
N6 0.511 0.489 0.101 1
N7 0.629 0.371 0.322 1
N8 0.679 0.321 0.700 1
N9 0.717 0.283 0.970 1
N10 0.959 0.041 0.357 1
# Uncorrected formation energy: -1.065 eV/atom
# SG: Cmc2_1

# MgAlSb2 | Alexandria | PBE-GGA | optimized geometry
data_MgAlSb2
_chemical_formula_sum 'Mg2 Al2 Sb4'
_cell_length_a 7.621
_cell_length_b 7.621
_cell_length_c 7.621
_cell_angle_alpha 129.05
_cell_angle_beta 129.05
_cell_angle_gamma 74.92
_space_group_name_H-M_alt 'P 1'
_space_group_IT_number 1
_space_group_name_Hall 'P 1'
loop_
_atom_site_label
_atom_site_fract_x
_atom_site_fract_y
_atom_site_fract_z
_atom_site_occupancy
Mg1 0.000 0.000 0.000 1
Mg2 0.750 0.250 0.500 1
Al1 0.250 0.750 0.500 1
Al2 0.500 0.500 0.000 1
Sb1 0.145 0.625 0.020 1
Sb2 0.375 0.395 0.520 1
Sb3 0.605 0.125 0.980 1
Sb4 0.875 0.855 0.480 1
# Uncorrected formation energy: -0.062 eV/atom
# SG: I-42d
# Energy relative to the lowest polymorph listed for this composition: 8.2 meV per atom

# TbPuCdHg | Alexandria | PBE-GGA | optimized geometry
data_TbPuCdHg
_chemical_formula_sum 'Tb1 Pu1 Cd1 Hg1'
_cell_length_a 5.322
_cell_length_b 5.322
_cell_length_c 5.322
_cell_angle_alpha 60.00
_cell_angle_beta 60.00
_cell_angle_gamma 60.00
_space_group_name_H-M_alt 'P 1'
_space_group_IT_number 1
_space_group_name_Hall 'P 1'
loop_
_atom_site_label
_atom_site_fract_x
_atom_site_fract_y
_atom_site_fract_z
_atom_site_occupancy
Tb1 0.000 0.000 0.000 1
Pu1 0.500 0.500 0.500 1
Cd1 0.750 0.750 0.750 1
Hg1 0.250 0.250 0.250 1
# SG: F-43m
# ΔE_f: -18 kJ per mole of atoms

# K3CdC2O6 | Alexandria | PBE-GGA | optimized geometry
data_K3CdC2O6
_chemical_formula_sum 'K3 Cd1 C2 O6'
_cell_length_a 5.688
_cell_length_b 5.688
_cell_length_c 7.282
_cell_angle_alpha 90.00
_cell_angle_beta 90.00
_cell_angle_gamma 120.00
_space_group_name_H-M_alt 'P 1'
_space_group_IT_number 1
_space_group_name_Hall 'P 1'
loop_
_atom_site_label
_atom_site_fract_x
_atom_site_fract_y
_atom_site_fract_z
_atom_site_occupancy
K1 0.000 0.000 0.000 1
K2 0.333 0.667 0.728 1
K3 0.667 0.333 0.272 1
Cd1 0.000 0.000 0.500 1
C1 0.333 0.667 0.254 1
C2 0.667 0.333 0.746 1
O1 0.201 0.401 0.254 1
O2 0.201 0.799 0.254 1
O3 0.401 0.201 0.746 1
O4 0.599 0.799 0.254 1
O5 0.799 0.201 0.746 1
O6 0.799 0.599 0.746 1
# Uncorrected formation energy: -1.482 eV/atom
# SG: P-3m1

# MnBe2Cr | Alexandria | PBE-GGA | optimized geometry
data_MnBe2Cr
_chemical_formula_sum 'Mn1 Be2 Cr1'
_cell_length_a 3.875
_cell_length_b 3.875
_cell_length_c 3.875
_cell_angle_alpha 60.00
_cell_angle_beta 60.00
_cell_angle_gamma 60.00
_space_group_name_H-M_alt 'P 1'
_space_group_IT_number 1
_space_group_name_Hall 'P 1'
loop_
_atom_site_label
_atom_site_fract_x
_atom_site_fract_y
_atom_site_fract_z
_atom_site_occupancy
Mn1 0.000 0.000 0.000 1
Be1 0.250 0.250 0.250 1
Be2 0.750 0.750 0.750 1
Cr1 0.500 0.500 0.500 1
# SG: Fm-3m
# ΔE_f: 7 kJ per mole of atoms
# Energy relative to the lowest polymorph listed for this composition: 148.8 meV per atom

# Y3BiSeN | Alexandria | PBE-GGA | optimized geometry
data_Y3BiSeN
_chemical_formula_sum 'Y6 Bi2 Se2 N2'
_cell_length_a 8.780
_cell_length_b 4.135
_cell_length_c 9.160
_cell_angle_alpha 90.00
_cell_angle_beta 100.29
_cell_angle_gamma 90.00
_space_group_name_H-M_alt 'P 1'
_space_group_IT_number 1
_space_group_name_Hall 'P 1'
loop_
_atom_site_label
_atom_site_fract_x
_atom_site_fract_y
_atom_site_fract_z
_atom_site_occupancy
Y1 0.087 0.250 0.349 1
Y2 0.348 0.250 0.988 1
Y3 0.388 0.750 0.662 1
Y4 0.612 0.250 0.338 1
Y5 0.652 0.750 0.012 1
Y6 0.913 0.750 0.651 1
Bi1 0.328 0.750 0.289 1
Bi2 0.672 0.250 0.711 1
Se1 0.147 0.250 0.665 1
Se2 0.853 0.750 0.335 1
N1 0.406 0.750 0.901 1
N2 0.594 0.250 0.099 1
# Uncorrected formation energy: -1.317 eV/atom
# SG: P2_1/m

| no. | total magnetization (μB per cell) |
| --- | --- |
| 1 | 0.0 |
| 2 | 2.6 |
| 3 | 7.0 |
| 4 | 0.0 |
| 5 | 6.2 |
| 6 | 0.0 |
| 7 | 4.9 |
| 8 | 0.0 |